This record from the Alexandria database describes a relaxed KY2AgO4 crystal. The functional is PBE.

Cell lengths 3.570, 6.274, 12.350 Å; angles 90.00, 90.00, 106.53 degrees
Positions (direct):
1 K 0.065 0.129 0.750
2 K 0.935 0.871 0.250
3 Y 0.368 0.735 0.563
4 Y 0.632 0.265 0.063
5 Y 0.632 0.265 0.437
6 Y 0.368 0.735 0.937
7 Ag 0.771 0.541 0.750
8 Ag 0.229 0.459 0.250
9 O 0.247 0.495 0.081
10 O 0.753 0.505 0.581
11 O 0.753 0.505 0.919
12 O 0.247 0.495 0.419
13 O 0.000 0.000 0.500
14 O 0.000 0.000 0.000
15 O 0.414 0.827 0.750
16 O 0.586 0.173 0.250

Results
Total DFT energy (no corrections) in eV per atom: -6.904



This record from the Alexandria database describes a relaxed K3ZrCr2Te6 crystal. The functional is PBE.

Cell lengths 7.323, 7.323, 8.464 Å; angles 98.32, 98.32, 119.97 degrees
Positions (direct):
1 K 0.163 0.837 0.500
2 K 0.837 0.163 0.500
3 K 0.500 0.500 0.500
4 Zr 0.000 0.000 0.000
5 Cr 0.333 0.667 0.000
6 Cr 0.667 0.333 0.000
7 Te 0.937 0.593 0.812
8 Te 0.717 0.717 0.187
9 Te 0.063 0.407 0.188
10 Te 0.593 0.937 0.812
11 Te 0.283 0.283 0.813
12 Te 0.407 0.063 0.188

Results
Total DFT energy (no corrections) in eV per atom: -4.834